1.
A plane-wave DFT calculation with GGA-PBE was carried out for Pm5InAg2 after structural relaxation.

energy of formation from the pure elements: -180 kJ/mol of formula units

Unit cell a=8.9416 b=8.9416 c=8.9416 alpha=124.42 beta=124.42 gamma=82.50
Fractional positions:
Pm: 0.0000 0.0000 0.0000
Pm: 0.0063 0.5063 0.8110
Pm: 0.1952 0.0063 0.5000
Pm: 0.3048 0.8048 0.8110
Pm: 0.4937 0.3048 0.5000
Pm: 0.5000 0.5000 0.0000
Pm: 0.5063 0.6952 0.5000
Pm: 0.6952 0.1952 0.1890
Pm: 0.8048 0.9937 0.5000
Pm: 0.9937 0.4937 0.1890
In: 0.2500 0.2500 0.0000
In: 0.7500 0.7500 0.0000
Ag: 0.1319 0.3681 0.5000
Ag: 0.3681 0.8681 0.2362
Ag: 0.6319 0.1319 0.7638
Ag: 0.8681 0.6319 0.5000


2.
A plane-wave DFT calculation with GGA-PBE was carried out for NdZnHg after structural relaxation.

energy of formation from the pure elements: -117 kJ/mol of formula units

Unit cell a=4.7643 b=4.7643 c=3.6681 alpha=90.00 beta=90.00 gamma=120.00
Fractional positions:
Nd: 0.0000 0.0000 0.0000
Zn: 0.6667 0.3333 0.5000
Hg: 0.3333 0.6667 0.5000


3.
A plane-wave DFT calculation with GGA-PBE was carried out for CeTiGe2Pt2 after structural relaxation.

energy of formation from the pure elements: -540 kJ/mol of formula units

Unit cell a=4.3556 b=4.3556 c=6.8027 alpha=90.00 beta=90.00 gamma=120.00
Fractional positions:
Ce: 0.0000 0.0000 0.0000
Ti: 0.0000 0.0000 0.5000
Ge: 0.3333 0.6667 0.7211
Ge: 0.6667 0.3333 0.2789
Pt: 0.3333 0.6667 0.3130
Pt: 0.6667 0.3333 0.6870


4.
A plane-wave DFT calculation with GGA-PBE was carried out for Ta2TcBr after structural relaxation.

offset from the most stable computed form: 0.5506 eV per atom
formation energy without anion corrections: 0.614 eV per atom

Unit cell a=3.1540 b=4.5174 c=4.8481 alpha=90.00 beta=90.00 gamma=90.00
Fractional positions:
Ta: 0.0000 0.0000 0.0000
Ta: 0.5000 0.0000 0.5000
Tc: 0.0000 0.5000 0.5000
Br: 0.5000 0.5000 0.0000